Material: Sr3WCl
Method: DFT, PBEsol
State: relaxed Values from VASP.

Cell and atoms, written as Quantum ESPRESSO input:
```
&SYSTEM
  ibrav = 0, nat = 5, ntyp = 3
/
ATOMIC_SPECIES
Sr 87.62 Sr.upf
Cl 35.45 Cl.upf
W 183.84 W.upf
CELL_PARAMETERS angstrom
5.717 0.000 0.000
0.000 5.717 0.000
0.000 0.000 5.717
ATOMIC_POSITIONS crystal
Sr 0.000 0.500 0.000
Sr 0.500 0.000 0.000
Cl 0.500 0.500 0.500
W 0.000 0.000 0.000
Sr 0.000 0.000 0.500
```

Calculated values
symmetry	Pm-3m (221)
ΔE_f (raw)	0.6231	eV/atom
calculated density	4285	kg/m³
total magnetic moment	0.0	Bohr magnetons per cell


Material: Pm2AgRh
Method: DFT, PBEsol
State: relaxed Values from VASP.

Cell and atoms, written as Quantum ESPRESSO input:
```
&SYSTEM
  ibrav = 0, nat = 4, ntyp = 3
/
ATOMIC_SPECIES
Pm 145.00 Pm.upf
Ag 107.87 Ag.upf
Rh 102.91 Rh.upf
CELL_PARAMETERS angstrom
5.018 0.000 0.000
2.509 4.346 0.000
2.509 1.449 4.097
ATOMIC_POSITIONS crystal
Pm 0.250 0.250 0.250
Ag 0.500 0.500 0.500
Pm 0.750 0.750 0.750
Rh 0.000 0.000 0.000
```

Calculated values
symmetry	Fm-3m (225)
calculated density	9308	kg/m³
energy of formation from the pure elements	-435.3	meV per atom
total magnetic moment	0.0	Bohr magnetons per cell


Material: Ca2Ga2SiH2O8
Method: DFT, PBEsol
State: relaxed Values from VASP.

Cell and atoms, written as Quantum ESPRESSO input:
```
&SYSTEM
  ibrav = 0, nat = 30, ntyp = 5
/
ATOMIC_SPECIES
Ca 40.08 Ca.upf
H 1.01 H.upf
O 16.00 O.upf
Ga 69.72 Ga.upf
Si 28.09 Si.upf
CELL_PARAMETERS angstrom
7.722 0.024 0.000
-2.570 7.282 0.000
-2.576 -3.653 6.297
ATOMIC_POSITIONS crystal
Ca 0.720 0.997 0.000
H 0.657 0.658 0.624
O 0.001 0.232 0.000
Ga 0.756 0.500 0.256
O 0.265 0.730 0.287
O 0.231 0.001 0.000
H 0.967 0.343 0.001
O 0.768 0.769 0.769
O 0.442 0.978 0.713
O 0.730 0.265 0.287
O 0.999 0.999 0.231
O 0.559 0.559 0.301
Ca 0.281 0.280 0.277
O 0.270 0.558 0.535
O 0.441 0.742 0.000
O 0.558 0.270 0.536
Ca 0.996 0.719 0.000
Ga 0.500 0.244 0.744
Ga 0.244 0.500 0.744
H 0.034 0.033 0.376
O 0.742 0.441 0.000
Ca 0.003 0.004 0.723
O 0.978 0.442 0.713
Si 0.250 0.750 0.500
O 0.258 0.258 0.699
Ga 0.500 0.756 0.256
H 0.342 0.966 0.999
O 0.022 0.735 0.465
Si 0.750 0.250 0.500
O 0.735 0.022 0.464
```

Calculated values
symmetry	I-4 (82)
calculated density	3539	kg/m³
E above lowest polymorph	0	meV per atom
total magnetic moment	0.0	Bohr magnetons per cell